# 1
Ce8P2Os | PBE | relaxed

The structure in POSCAR format:
```
Ce8P2Os
1.0
4.246 0.000 0.000
0.000 7.487 -0.066
-2.123 -3.244 8.164
Ce Os P
8 1 2
Direct
0.332 0.052 0.663 Ce
0.195 0.289 0.390 Ce
0.419 0.555 0.839 Ce
0.805 0.711 0.610 Ce
0.021 0.781 0.041 Ce
0.668 0.948 0.337 Ce
0.979 0.219 0.959 Ce
0.581 0.445 0.161 Ce
0.500 0.000 0.000 Os
0.185 0.683 0.370 P
0.815 0.317 0.630 P
```

Formation energy, meV/atom: -488
M_tot, μB per cell: 2.476


# 2
CeP2Os | PBE | relaxed

The structure in POSCAR format:
```
CeP2Os
1.0
-3.673 -1.318 -0.259
-0.813 -3.094 -2.251
-0.629 -4.693 3.281
P Os Ce
2 1 1
Direct
0.727 0.727 0.819 P
0.273 0.273 0.181 P
0.000 0.000 0.000 Os
0.500 0.500 0.500 Ce
```

Formation energy, meV/atom: -941
Energy above the lowest structure with this stoichiometry, meV/atom: 0.0
M_tot, μB per cell: 0.160


# 3
CeTcP2Os | PBE | relaxed

The structure in POSCAR format:
```
CeTcP2Os
1.0
4.144 0.000 0.000
0.000 4.144 0.000
-2.072 -2.072 4.858
Ce P Tc Os
1 2 1 1
Direct
0.000 0.000 0.000 Ce
0.632 0.632 0.264 P
0.368 0.368 0.736 P
0.250 0.750 0.500 Tc
0.750 0.250 0.500 Os
```

Formation energy, meV/atom: -862
M_tot, μB per cell: 0.351


# 4
Ce3Pa2Os4 | PBE | relaxed

The structure in POSCAR format:
```
Ce3Pa2Os4
1.0
-3.922 1.652 1.089
-0.051 -2.529 -5.209
-1.556 -7.082 5.142
Os Ce Pa
4 3 2
Direct
0.705 0.409 0.094 Os
0.066 0.133 0.645 Os
0.934 0.867 0.355 Os
0.295 0.591 0.906 Os
0.632 0.263 0.391 Ce
0.368 0.737 0.609 Ce
0.000 0.000 0.000 Ce
0.323 0.646 0.224 Pa
0.677 0.354 0.776 Pa
```

Formation energy, meV/atom: -223
M_tot, μB per cell: 0.564


- Among the records above, which one has the lowest M_tot?
  CeP2Os


- The highest M_tot belongs to which entry?
  Ce8P2Os